No. 1
The following is a PBE-GGA calculation of PrSmS2 after structural relaxation, from Alexandria.

Lattice parameters (Å, degrees): 7.3957 7.3957 7.3957 31.12 31.12 31.12
Closest atoms and distances in Å follow each position.
Element x y z (fractional)
1 Pr 0.0000 0.0000 0.0000  6 S 2.83-2.98
2 Sm 0.8221 0.8221 0.8221  6 S 2.80-2.94
3 S 0.4123 0.4123 0.4123  3 Sm 2.80, 3 Pr 2.83
4 S 0.5762 0.5762 0.5762  3 Sm 2.94, 3 Pr 2.98

Volume, Å³ per cell: 96
Magnetization, Bohr magnetons per cell: 0.000
Theoretical density, g cm⁻³: 6.154
Total energy, eV per atom: -6.41


No. 2
The following is a PBE-GGA calculation of Pr3SmS6 after structural relaxation, from Alexandria.

Lattice parameters (Å, degrees): 8.3493 8.3493 8.3493 91.38 91.38 91.38
Closest atoms and distances in Å follow each position.
Element x y z (fractional)
1 Pr 0.0658 0.7486 0.5745  6 S 2.84-2.93
2 Pr 0.2514 0.4255 0.9342  6 S 2.84-2.93
3 Pr 0.4255 0.9342 0.2514  6 S 2.84-2.93
4 Pr 0.5745 0.0658 0.7486  6 S 2.84-2.93
5 Pr 0.7486 0.5745 0.0658  6 S 2.84-2.93
6 Pr 0.9342 0.2514 0.4255  6 S 2.84-2.93
7 Sm 0.0000 0.0000 0.0000  6 S 2.76
8 Sm 0.5000 0.5000 0.5000  6 S 2.80
9 S 0.0358 0.6838 0.9063  1 Sm 2.76, 3 Pr 2.85-2.91
10 S 0.0937 0.9642 0.3162  1 Sm 2.76, 3 Pr 2.85-2.91
11 S 0.1870 0.4232 0.5912  1 Sm 2.80, 3 Pr 2.84-2.93
12 S 0.3162 0.0937 0.9642  1 Sm 2.76, 3 Pr 2.85-2.91
13 S 0.4088 0.8130 0.5768  1 Sm 2.80, 3 Pr 2.84-2.93
14 S 0.4232 0.5912 0.1870  1 Sm 2.80, 3 Pr 2.84-2.93
15 S 0.5768 0.4088 0.8130  1 Sm 2.80, 3 Pr 2.84-2.93
16 S 0.5912 0.1870 0.4232  1 Sm 2.80, 3 Pr 2.84-2.93
17 S 0.6838 0.9063 0.0358  1 Sm 2.76, 3 Pr 2.85-2.91
18 S 0.8130 0.5768 0.4088  1 Sm 2.80, 3 Pr 2.84-2.93
19 S 0.9063 0.0358 0.6838  1 Sm 2.76, 3 Pr 2.85-2.91
20 S 0.9642 0.3162 0.0937  1 Sm 2.76, 3 Pr 2.85-2.91

Volume, Å³ per cell: 582
Magnetization, Bohr magnetons per cell: 0.000
Theoretical density, g cm⁻³: 4.372
Total energy, eV per atom: -6.42